No. 1
Here is a geometry-optimized Sm3Si2 structure from Alexandria. Energies are from GGA-PBE.

```
data_Sm3Si2
_space_group_name_H-M_alt 'I m m m'
_space_group_IT_number 71
_space_group_name_Hall '-I 2 2'
_cell_length_a 4.4028
_cell_length_b 6.4118
_cell_length_c 8.9656
_cell_angle_alpha 90.00
_cell_angle_beta 90.00
_cell_angle_gamma 90.00
loop_
_atom_site_label
_atom_site_type_symbol
_atom_site_fract_x
_atom_site_fract_y
_atom_site_fract_z
Sm1 Sm 0.0000 0.0000 0.0000
Sm2 Sm 0.0000 0.5000 0.2021
Si1 Si 0.0000 0.1919 0.5000
```


No. 2
Here is a geometry-optimized Sm3Si structure from Alexandria. Energies are from GGA-PBE.

```
data_Sm3Si
_space_group_name_H-M_alt 'P 63/m m c'
_space_group_IT_number 194
_space_group_name_Hall '-P 6c 2c'
_cell_length_a 6.8793
_cell_length_b 6.8793
_cell_length_c 5.1517
_cell_angle_alpha 90.00
_cell_angle_beta 90.00
_cell_angle_gamma 120.00
loop_
_atom_site_label
_atom_site_type_symbol
_atom_site_fract_x
_atom_site_fract_y
_atom_site_fract_z
Sm1 Sm 0.1801 0.3602 0.2500
Si1 Si 0.3333 0.6667 0.7500
```


No. 3
Here is a geometry-optimized Sm5Si structure from Alexandria. Energies are from GGA-PBE.

```
data_Sm5Si
_space_group_name_H-M_alt 'C m m m'
_space_group_IT_number 65
_space_group_name_Hall '-C 2 2'
_cell_length_a 4.7367
_cell_length_b 15.1611
_cell_length_c 4.8352
_cell_angle_alpha 90.00
_cell_angle_beta 90.00
_cell_angle_gamma 90.00
loop_
_atom_site_label
_atom_site_type_symbol
_atom_site_fract_x
_atom_site_fract_y
_atom_site_fract_z
Sm1 Sm 0.0000 0.0000 0.0000
Sm2 Sm 0.0000 0.1541 0.5000
Sm3 Sm 0.0000 0.3404 0.0000
Si1 Si 0.0000 0.5000 0.5000
```


No. 4
# GGA-PBE Sm5Si4, optimized geometry
# ΔE to the lowest computed polymorph in kJ/mol of formula units: 0
data_Sm5Si4
_space_group_name_H-M_alt 'P n m a'
_space_group_IT_number 62
_cell_length_a 7.6711
_cell_length_b 14.9573
_cell_length_c 7.8520
_cell_angle_alpha 90.00
_cell_angle_beta 90.00
_cell_angle_gamma 90.00
loop_
_space_group_symop_operation_xyz
'x,y,z'
'-x,-y,-z'
'-x+1/2,-y,z+1/2'
'x+1/2,y,-z+1/2'
'x+1/2,-y+1/2,-z+1/2'
'-x+1/2,y+1/2,z+1/2'
'-x,y+1/2,-z'
'x,-y+1/2,z'
loop_
_atom_site_label
_atom_site_type_symbol
_atom_site_fract_x
_atom_site_fract_y
_atom_site_fract_z
Sm1 Sm 0.0407 0.1011 0.1867
Sm2 Sm 0.1391 0.7500 0.5115
Sm3 Sm 0.1893 0.1216 0.6804
Si1 Si 0.0151 0.7500 0.1024
Si2 Si 0.1361 0.5414 0.4741
Si3 Si 0.2485 0.2500 0.3776


No. 5
# GGA-PBE Sm5Si4, optimized geometry
# ΔE to the lowest computed polymorph in kJ/mol of formula units: 4
data_Sm5Si4
_space_group_name_H-M_alt 'C 1 2/m 1'
_space_group_IT_number 12
_cell_length_a 10.8748
_cell_length_b 4.3907
_cell_length_c 9.8774
_cell_angle_alpha 90.00
_cell_angle_beta 112.02
_cell_angle_gamma 90.00
loop_
_space_group_symop_operation_xyz
'x,y,z'
'-x,-y,-z'
'-x,y,-z'
'x,-y,z'
'x+1/2,y+1/2,z'
'-x+1/2,-y+1/2,-z'
'-x+1/2,y+1/2,-z'
'x+1/2,-y+1/2,z'
loop_
_atom_site_label
_atom_site_type_symbol
_atom_site_fract_x
_atom_site_fract_y
_atom_site_fract_z
Sm1 Sm 0.0000 0.0000 0.0000
Sm2 Sm 0.1036 0.0000 0.3921
Sm3 Sm 0.2475 0.0000 0.8313
Si1 Si 0.0482 0.5000 0.8253
Si2 Si 0.1129 0.5000 0.6080


No. 6
Here is a geometry-optimized SmSiSn2 structure from Alexandria. Energies are from GGA-PBE.

```
data_SmSiSn2
_space_group_name_H-M_alt 'P 4/m m m'
_space_group_IT_number 123
_space_group_name_Hall '-P 4 2'
_cell_length_a 4.4869
_cell_length_b 4.4869
_cell_length_c 4.8001
_cell_angle_alpha 90.00
_cell_angle_beta 90.00
_cell_angle_gamma 90.00
loop_
_atom_site_label
_atom_site_type_symbol
_atom_site_fract_x
_atom_site_fract_y
_atom_site_fract_z
Sm1 Sm 0.0000 0.0000 0.0000
Si1 Si 0.5000 0.5000 0.0000
Sn1 Sn 0.0000 0.5000 0.5000
```


No. 7
Here is a geometry-optimized Sm4Si2Sn5 structure from Alexandria. Energies are from GGA-PBE.

```
data_Sm4Si2Sn5
_space_group_name_H-M_alt 'P 1 2/m 1'
_space_group_IT_number 10
_cell_length_a 7.4872
_cell_length_b 4.2659
_cell_length_c 8.9819
_cell_angle_alpha 90.00
_cell_angle_beta 94.89
_cell_angle_gamma 90.00
loop_
_space_group_symop_operation_xyz
'x,y,z'
'-x,-y,-z'
'-x,y,-z'
'x,-y,z'
loop_
_atom_site_label
_atom_site_type_symbol
_atom_site_fract_x
_atom_site_fract_y
_atom_site_fract_z
Sm1 Sm 0.2138 0.0000 0.3557
Sm2 Sm 0.2291 0.0000 0.9081
Si1 Si 0.0804 0.5000 0.1207
Sn1 Sn 0.1361 0.5000 0.6332
Sn2 Sn 0.4486 0.5000 0.1595
Sn3 Sn 0.5000 0.5000 0.5000
```


No. 8
Here is a geometry-optimized Sm5Si2Sn structure from Alexandria. Energies are from GGA-PBE.

```
data_Sm5Si2Sn
_space_group_name_H-M_alt 'I 4/m c m'
_space_group_IT_number 140
_space_group_name_Hall '-I 4 2c'
_cell_length_a 7.8308
_cell_length_b 7.8308
_cell_length_c 14.2846
_cell_angle_alpha 90.00
_cell_angle_beta 90.00
_cell_angle_gamma 90.00
loop_
_atom_site_label
_atom_site_type_symbol
_atom_site_fract_x
_atom_site_fract_y
_atom_site_fract_z
Sm1 Sm 0.0000 0.0000 0.0000
Sm2 Sm 0.1717 0.3283 0.1392
Si1 Si 0.1223 0.3777 0.5000
Sn1 Sn 0.0000 0.0000 0.2500
```


No. 9
Here is a geometry-optimized Sm4SiSn structure from Alexandria. Energies are from GGA-PBE.

```
data_Sm4SiSn
_space_group_name_H-M_alt 'C 1 2/c 1'
_space_group_IT_number 15
_cell_length_a 16.2940
_cell_length_b 5.8496
_cell_length_c 7.8887
_cell_angle_alpha 90.00
_cell_angle_beta 106.66
_cell_angle_gamma 90.00
loop_
_space_group_symop_operation_xyz
'x,y,z'
'-x,-y,-z'
'-x,y,-z+1/2'
'x,-y,z+1/2'
'x+1/2,y+1/2,z'
'-x+1/2,-y+1/2,-z'
'-x+1/2,y+1/2,-z+1/2'
'x+1/2,-y+1/2,z+1/2'
loop_
_atom_site_label
_atom_site_type_symbol
_atom_site_fract_x
_atom_site_fract_y
_atom_site_fract_z
Sm1 Sm 0.0755 0.1318 0.4512
Sm2 Sm 0.1695 0.3764 0.1339
Si1 Si 0.2500 0.2500 0.5000
Sn1 Sn 0.0000 0.3702 0.7500
```


No. 10
Here is a geometry-optimized Sm8SiSn2 structure from Alexandria. Energies are from GGA-PBE.

```
data_Sm8SiSn2
_space_group_name_H-M_alt 'C 1 2/m 1'
_space_group_IT_number 12
_cell_length_a 19.6053
_cell_length_b 5.1255
_cell_length_c 6.8202
_cell_angle_alpha 90.00
_cell_angle_beta 104.96
_cell_angle_gamma 90.00
loop_
_space_group_symop_operation_xyz
'x,y,z'
'-x,-y,-z'
'-x,y,-z'
'x,-y,z'
'x+1/2,y+1/2,z'
'-x+1/2,-y+1/2,-z'
'-x+1/2,y+1/2,-z'
'x+1/2,-y+1/2,z'
loop_
_atom_site_label
_atom_site_type_symbol
_atom_site_fract_x
_atom_site_fract_y
_atom_site_fract_z
Sm1 Sm 0.0175 0.0000 0.2785
Sm2 Sm 0.0897 0.5000 0.9632
Sm3 Sm 0.1518 0.5000 0.4999
Sm4 Sm 0.2188 0.0000 0.8193
Si1 Si 0.0000 0.5000 0.5000
Sn1 Sn 0.1787 0.0000 0.2521
```


No. 11
Here is a geometry-optimized Sm5SiSn2 structure from Alexandria. Energies are from GGA-PBE.

```
data_Sm5SiSn2
_space_group_name_H-M_alt 'P b a m'
_space_group_IT_number 55
_cell_length_a 8.2304
_cell_length_b 12.4584
_cell_length_c 4.6217
_cell_angle_alpha 90.00
_cell_angle_beta 90.00
_cell_angle_gamma 90.00
loop_
_space_group_symop_operation_xyz
'x,y,z'
'-x,-y,-z'
'-x,-y,z'
'x,y,-z'
'x+1/2,-y+1/2,-z'
'-x+1/2,y+1/2,z'
'-x+1/2,y+1/2,-z'
'x+1/2,-y+1/2,z'
loop_
_atom_site_label
_atom_site_type_symbol
_atom_site_fract_x
_atom_site_fract_y
_atom_site_fract_z
Sm1 Sm 0.0000 0.0000 0.0000
Sm2 Sm 0.1474 0.2899 0.0000
Sm3 Sm 0.1941 0.5669 0.5000
Si1 Si 0.0000 0.5000 0.0000
Sn1 Sn 0.0770 0.8276 0.5000
```


No. 12
Here is a geometry-optimized Sm5Si2Sn2 structure from Alexandria. Energies are from GGA-PBE.

```
data_Sm5Si2Sn2
_space_group_name_H-M_alt 'C m c e'
_space_group_IT_number 64
_space_group_name_Hall '-C 2ac 2'
_cell_length_a 15.5521
_cell_length_b 7.9903
_cell_length_c 7.9798
_cell_angle_alpha 90.00
_cell_angle_beta 90.00
_cell_angle_gamma 90.00
loop_
_atom_site_label
_atom_site_type_symbol
_atom_site_fract_x
_atom_site_fract_y
_atom_site_fract_z
Sm1 Sm 0.0000 0.0000 0.0000
Sm2 Sm 0.1293 0.1795 0.3227
Si1 Si 0.0000 0.1138 0.6155
Sn1 Sn 0.2130 0.0000 0.0000
```


No. 13
Here is a geometry-optimized Sm6SiSn2 structure from Alexandria. Energies are from GGA-PBE.

```
data_Sm6SiSn2
_space_group_name_H-M_alt 'P -6 2 m'
_space_group_IT_number 189
_space_group_name_Hall 'P -6 -2'
_cell_length_a 8.4188
_cell_length_b 8.4188
_cell_length_c 4.3535
_cell_angle_alpha 90.00
_cell_angle_beta 90.00
_cell_angle_gamma 120.00
loop_
_atom_site_label
_atom_site_type_symbol
_atom_site_fract_x
_atom_site_fract_y
_atom_site_fract_z
Sm1 Sm 0.0000 0.4011 0.0000
Sm2 Sm 0.0000 0.7526 0.5000
Si1 Si 0.0000 0.0000 0.0000
Sn1 Sn 0.3333 0.6667 0.5000
```


No. 14
Here is a geometry-optimized Sm12Si5Sn structure from Alexandria. Energies are from GGA-PBE.

```
data_Sm12Si5Sn
_space_group_name_H-M_alt 'I m m m'
_space_group_IT_number 71
_space_group_name_Hall '-I 2 2'
_cell_length_a 9.6537
_cell_length_b 9.8054
_cell_length_c 10.4722
_cell_angle_alpha 90.00
_cell_angle_beta 90.00
_cell_angle_gamma 90.00
loop_
_atom_site_label
_atom_site_type_symbol
_atom_site_fract_x
_atom_site_fract_y
_atom_site_fract_z
Sm1 Sm 0.0000 0.1986 0.2311
Sm2 Sm 0.2047 0.5000 0.1795
Sm3 Sm 0.2289 0.3184 0.5000
Si1 Si 0.0000 0.0000 0.0000
Si2 Si 0.0000 0.3757 0.0000
Si3 Si 0.0000 0.5000 0.3864
Sn1 Sn 0.0000 0.0000 0.5000
```


No. 15
Here is a geometry-optimized SrSmSi structure from Alexandria. Energies are from GGA-PBE.

```
data_SrSmSi
_space_group_name_H-M_alt 'P 4/m m m'
_space_group_IT_number 123
_space_group_name_Hall '-P 4 2'
_cell_length_a 3.5643
_cell_length_b 3.5643
_cell_length_c 14.5956
_cell_angle_alpha 90.00
_cell_angle_beta 90.00
_cell_angle_gamma 90.00
loop_
_atom_site_label
_atom_site_type_symbol
_atom_site_fract_x
_atom_site_fract_y
_atom_site_fract_z
Sr1 Sr 0.0000 0.0000 0.1384
Sm1 Sm 0.5000 0.5000 0.3779
Si1 Si 0.0000 0.0000 0.5000
Si2 Si 0.5000 0.5000 0.0000
```


No. 16
Here is a geometry-optimized SrSmSi3 structure from Alexandria. Energies are from GGA-PBE.

```
data_SrSmSi3
_space_group_name_H-M_alt 'C m c m'
_space_group_IT_number 63
_space_group_name_Hall '-C 2c 2'
_cell_length_a 4.5742
_cell_length_b 25.0832
_cell_length_c 3.9756
_cell_angle_alpha 90.00
_cell_angle_beta 90.00
_cell_angle_gamma 90.00
loop_
_atom_site_label
_atom_site_type_symbol
_atom_site_fract_x
_atom_site_fract_y
_atom_site_fract_z
Sr1 Sr 0.0000 0.0722 0.2500
Sm1 Sm 0.0000 0.2027 0.7500
Si1 Si 0.0000 0.3218 0.7500
Si2 Si 0.0000 0.3784 0.2500
Si3 Si 0.0000 0.4750 0.2500
```


No. 17
Here is a geometry-optimized SrSm4Si4 structure from Alexandria. Energies are from GGA-PBE.

```
data_SrSm4Si4
_space_group_name_H-M_alt 'P 42/n'
_space_group_IT_number 86
_cell_length_a 9.6175
_cell_length_b 9.6175
_cell_length_c 5.8537
_cell_angle_alpha 90.00
_cell_angle_beta 90.00
_cell_angle_gamma 90.00
loop_
_space_group_symop_operation_xyz
'x,y,z'
'-x,-y,-z'
'-y,x+1/2,z+1/2'
'y,-x+1/2,-z+1/2'
'-x+1/2,-y+1/2,z'
'x+1/2,y+1/2,-z'
'y+1/2,-x,z+1/2'
'-y+1/2,x,-z+1/2'
loop_
_atom_site_label
_atom_site_type_symbol
_atom_site_fract_x
_atom_site_fract_y
_atom_site_fract_z
Sr1 Sr 0.2500 0.2500 0.2500
Sm1 Sm 0.1118 0.6321 0.1264
Si1 Si 0.0578 0.5783 0.6345
```


No. 18
Here is a geometry-optimized Sm2Ta3Si4 structure from Alexandria. Energies are from GGA-PBE.

```
data_Sm2Ta3Si4
_space_group_name_H-M_alt 'P 1 21/c 1'
_space_group_IT_number 14
_cell_length_a 7.0906
_cell_length_b 7.1006
_cell_length_c 6.9599
_cell_angle_alpha 90.00
_cell_angle_beta 108.85
_cell_angle_gamma 90.00
loop_
_space_group_symop_operation_xyz
'x,y,z'
'-x,-y,-z'
'-x,y+1/2,-z+1/2'
'x,-y+1/2,z+1/2'
loop_
_atom_site_label
_atom_site_type_symbol
_atom_site_fract_x
_atom_site_fract_y
_atom_site_fract_z
Sm1 Sm 0.1864 0.1684 0.0642
Ta1 Ta 0.2580 0.6746 0.2480
Ta2 Ta 0.5000 0.0000 0.5000
Si1 Si 0.0864 0.5391 0.8704
Si2 Si 0.4953 0.1259 0.8717
```


No. 19
Here is a geometry-optimized SmTaSi2Tc structure from Alexandria. Energies are from GGA-PBE.

```
data_SmTaSi2Tc
_space_group_name_H-M_alt 'I -4 m 2'
_space_group_IT_number 119
_space_group_name_Hall 'I -4 -2'
_cell_length_a 4.0363
_cell_length_b 4.0363
_cell_length_c 11.2161
_cell_angle_alpha 90.00
_cell_angle_beta 90.00
_cell_angle_gamma 90.00
loop_
_atom_site_label
_atom_site_type_symbol
_atom_site_fract_x
_atom_site_fract_y
_atom_site_fract_z
Sm1 Sm 0.0000 0.0000 0.0000
Ta1 Ta 0.0000 0.5000 0.7500
Si1 Si 0.0000 0.0000 0.3911
Tc1 Tc 0.0000 0.5000 0.2500
```


No. 20
# GGA-PBE Tb2SmSi2, optimized geometry
# ΔE to the lowest computed polymorph in kJ/mol of formula units: 25
data_Tb2SmSi2
_space_group_name_H-M_alt 'I m m m'
_space_group_IT_number 71
_space_group_name_Hall '-I 2 2'
_cell_length_a 4.3879
_cell_length_b 6.3780
_cell_length_c 8.7016
_cell_angle_alpha 90.00
_cell_angle_beta 90.00
_cell_angle_gamma 90.00
loop_
_atom_site_label
_atom_site_type_symbol
_atom_site_fract_x
_atom_site_fract_y
_atom_site_fract_z
Tb1 Tb 0.0000 0.0000 0.1997
Sm1 Sm 0.0000 0.5000 0.0000
Si1 Si 0.0000 0.3071 0.5000


The following final energy values (in eV per cell) correspond, in order, to the records above: -56.14 -41.15 -59.46 -206.69 -103.27 -19.40 -56.55 -174.87 -122.12 -111.05 -84.61 -195.55 -46.88 -195.58 -24.83 -101.23 -92.91 -146.21 -81.91 -55.74.